First-principles (GGA-PBE) data for crystalline SbAsCl2 at its relaxed geometry, as listed in the Alexandria database.

abc: 3.116 3.116 9.156
angles: 90.00 90.00 90.00
Space group P4/mmm (No. 123)
Inequivalent atoms, fractional coordinates:
Sb 0.000 0.000 0.000 (multiplicity 1)
As 0.000 0.000 0.500 (multiplicity 1)
Cl 0.500 0.500 0.250 (multiplicity 2)

Calculated values
Its total energy is -11.47 eV for the cell shown. Its total magnetization is 0.00 μB per atom. As for the density of states at the Fermi level: 2.35 states/eV/cell.